# 1
Density functional theory data (PBE-GGA) for crystalline ErTePO at its relaxed geometry.

Size of the total moment in μB per atom: 0.001
Relative energy among the computed polymorphs in kJ per mole of atoms: 7.9
Crystal system: tetragonal

Unit cell a=4.018 b=4.018 c=10.158 alpha=90.00 beta=90.00 gamma=90.00
Fractional positions:
Er: 0.250 0.250 0.100
Er: 0.750 0.750 0.900
Te: 0.250 0.750 0.500
Te: 0.750 0.250 0.500
P: 0.250 0.250 0.732
P: 0.750 0.750 0.268
O: 0.250 0.750 0.000
O: 0.750 0.250 0.000

***

# 2
Density functional theory data (PBE-GGA) for crystalline ErTlPO at its relaxed geometry.

Size of the total moment in μB per atom: 0.061
Relative energy among the computed polymorphs in kJ per mole of atoms: 2.9
Crystal system: tetragonal

Unit cell a=4.127 b=4.127 c=9.416 alpha=90.00 beta=90.00 gamma=90.00
Fractional positions:
Er: 0.250 0.250 0.103
Er: 0.750 0.750 0.897
Tl: 0.250 0.750 0.500
Tl: 0.750 0.250 0.500
P: 0.250 0.250 0.725
P: 0.750 0.750 0.275
O: 0.250 0.750 0.000
O: 0.750 0.250 0.000

***

# 3
Density functional theory data (PBE-GGA) for crystalline ErTlPO at its relaxed geometry.

Size of the total moment in μB per atom: 0.036
Relative energy among the computed polymorphs in kJ per mole of atoms: 12.6
Crystal system: orthorhombic

Unit cell a=4.005 b=7.940 c=5.713 alpha=90.00 beta=90.00 gamma=90.00
Fractional positions:
Er: 0.000 0.182 0.000
Er: 0.000 0.818 0.500
Tl: 0.500 0.378 0.530
Tl: 0.500 0.622 0.030
P: 0.000 0.166 0.495
P: 0.000 0.834 0.995
O: 0.500 0.284 0.990
O: 0.500 0.716 0.490

***

# 4
Density functional theory data (PBE-GGA) for crystalline ErTlPO at its relaxed geometry.

Size of the total moment in μB per atom: 0.000
Relative energy among the computed polymorphs in kJ per mole of atoms: 0.0
Crystal system: orthorhombic

Unit cell a=4.779 b=8.079 c=5.347 alpha=90.00 beta=90.00 gamma=90.00
Fractional positions:
Er: 0.000 0.140 0.000
Er: 0.000 0.860 0.500
Tl: 0.500 0.321 0.434
Tl: 0.500 0.679 0.934
P: 0.500 0.305 0.931
P: 0.500 0.695 0.431
O: 0.000 0.106 0.384
O: 0.000 0.894 0.884

***

# 5
Density functional theory data (PBE-GGA) for crystalline ErTlPO at its relaxed geometry.

Size of the total moment in μB per atom: 0.000
Relative energy among the computed polymorphs in kJ per mole of atoms: 18.9
Crystal system: tetragonal

Unit cell a=5.641 b=5.641 c=4.956 alpha=90.00 beta=90.00 gamma=90.00
Fractional positions:
Er: 0.250 0.750 0.000
Er: 0.750 0.250 0.000
Tl: 0.250 0.250 0.496
Tl: 0.750 0.750 0.504
P: 0.250 0.250 0.995
P: 0.750 0.750 0.005
O: 0.250 0.750 0.500
O: 0.750 0.250 0.500

***

# 6
Density functional theory data (PBE-GGA) for crystalline ErTlPO at its relaxed geometry.

Size of the total moment in μB per atom: 0.000
Relative energy among the computed polymorphs in kJ per mole of atoms: 18.9
Crystal system: tetragonal

Unit cell a=3.994 b=3.994 c=4.955 alpha=90.00 beta=90.00 gamma=90.00
Fractional positions:
Er: 0.000 0.000 0.000
Tl: 0.500 0.500 0.500
P: 0.500 0.500 0.000
O: 0.000 0.000 0.500

***

# 7
Density functional theory data (PBE-GGA) for crystalline ErPaO4 at its relaxed geometry.

Size of the total moment in μB per atom: 0.000
Total energy in eV per cell: -108.2
Crystal system: tetragonal

Unit cell a=6.559 b=6.559 c=6.559 alpha=131.82 beta=131.82 gamma=70.51
Fractional positions:
Er: 0.375 0.625 0.750
Er: 0.625 0.375 0.250
Pa: 0.125 0.875 0.250
Pa: 0.875 0.125 0.750
O: 0.000 0.245 0.245
O: 0.000 0.755 0.755
O: 0.245 0.000 0.745
O: 0.245 0.500 0.245
O: 0.500 0.245 0.745
O: 0.500 0.755 0.255
O: 0.755 0.000 0.255
O: 0.755 0.500 0.755

***

# 8
Density functional theory data (PBE-GGA) for crystalline ErPb2O4 at its relaxed geometry.

Size of the total moment in μB per atom: 0.144
Total energy in eV per cell: -87.5
Crystal system: cubic

Unit cell a=7.004 b=7.004 c=7.004 alpha=60.00 beta=60.00 gamma=60.00
Fractional positions:
Er: 0.125 0.125 0.125
Er: 0.875 0.875 0.875
Pb: 0.000 0.500 0.500
Pb: 0.500 0.000 0.500
Pb: 0.500 0.500 0.000
Pb: 0.500 0.500 0.500
O: 0.250 0.250 0.250
O: 0.250 0.250 0.750
O: 0.250 0.750 0.250
O: 0.250 0.750 0.750
O: 0.750 0.250 0.250
O: 0.750 0.250 0.750
O: 0.750 0.750 0.250
O: 0.750 0.750 0.750

***

# 9
Density functional theory data (PBE-GGA) for crystalline Er4Pb3O9 at its relaxed geometry.

Size of the total moment in μB per atom: 0.001
Total energy in eV per cell: -114.7
Crystal system: trigonal

Unit cell a=9.003 b=9.003 c=9.003 alpha=38.60 beta=38.60 gamma=38.60
Fractional positions:
Er: 0.000 0.000 0.000
Er: 0.126 0.126 0.126
Er: 0.436 0.436 0.436
Er: 0.564 0.564 0.564
Pb: 0.268 0.268 0.268
Pb: 0.697 0.697 0.697
Pb: 0.866 0.866 0.866
O: 0.125 0.308 0.748
O: 0.266 0.427 0.824
O: 0.278 0.874 0.692
O: 0.308 0.748 0.125
O: 0.427 0.824 0.266
O: 0.692 0.278 0.874
O: 0.748 0.125 0.308
O: 0.824 0.266 0.427
O: 0.874 0.692 0.278

***

# 10
Density functional theory data (PBE-GGA) for crystalline Er2Pd2O5 at its relaxed geometry.

Size of the total moment in μB per atom: 0.089
Relative energy among the computed polymorphs in kJ per mole of atoms: 3.9
Crystal system: tetragonal

Unit cell a=3.788 b=3.788 c=8.831 alpha=90.00 beta=90.00 gamma=90.00
Fractional positions:
Er: 0.000 0.000 0.245
Er: 0.000 0.000 0.755
Pd: 0.500 0.500 0.000
Pd: 0.500 0.500 0.500
O: 0.000 0.000 0.000
O: 0.000 0.500 0.360
O: 0.000 0.500 0.640
O: 0.500 0.000 0.360
O: 0.500 0.000 0.640

***

# 11
Density functional theory data (PBE-GGA) for crystalline Er2Pd2O5 at its relaxed geometry.

Size of the total moment in μB per atom: 0.000
Relative energy among the computed polymorphs in kJ per mole of atoms: 0.0
Crystal system: tetragonal

Unit cell a=3.991 b=3.991 c=6.809 alpha=90.00 beta=90.00 gamma=90.00
Fractional positions:
Er: 0.000 0.000 0.000
Er: 0.000 0.000 0.500
Pd: 0.500 0.500 0.190
Pd: 0.500 0.500 0.810
O: 0.000 0.500 0.226
O: 0.000 0.500 0.774
O: 0.500 0.000 0.226
O: 0.500 0.000 0.774
O: 0.500 0.500 0.500

***

# 12
Density functional theory data (PBE-GGA) for crystalline ErPdO3 at its relaxed geometry.

Size of the total moment in μB per atom: 0.000
Total energy in eV per cell: -66.4
Crystal system: tetragonal

Unit cell a=5.559 b=5.559 c=5.559 alpha=121.51 beta=121.51 gamma=87.40
Fractional positions:
Er: 0.250 0.750 0.500
Er: 0.750 0.250 0.500
Pd: 0.000 0.000 0.000
Pd: 0.500 0.500 0.000
O: 0.161 0.661 0.821
O: 0.250 0.250 0.000
O: 0.339 0.161 0.500
O: 0.661 0.839 0.500
O: 0.750 0.750 0.000
O: 0.839 0.339 0.179